[1]
Below is InSn2Te4Pb after structural relaxation, with properties calculated at the PBE-GGA level.

Structure (POSCAR):
```
InSn2Te4Pb
1.0
7.856 0.000 0.000
0.000 4.505 0.000
-2.605 0.000 7.451
In Sn Te Pb
1 2 4 1
Direct
0.000 0.000 0.000 In
0.500 0.000 0.500 Sn
0.500 0.500 0.000 Sn
0.252 0.500 0.247 Te
0.256 0.000 0.755 Te
0.744 0.000 0.245 Te
0.748 0.500 0.753 Te
0.000 0.500 0.500 Pb
```

## Properties
VASP energy ... -3.680 eV/atom
Total magnetic moment ... 0.0 μB/f.u.

---

[2]
Below is InSnTe5Pb2 after structural relaxation, with properties calculated at the PBE-GGA level.

Structure (POSCAR):
```
InSnTe5Pb2
1.0
2.163 -9.838 0.000
2.163 9.838 0.000
0.000 0.000 14.492
In Sn Te Pb
2 2 10 4
Direct
0.053 0.947 0.500 In
0.947 0.053 0.000 In
0.288 0.712 0.101 Sn
0.712 0.288 0.601 Sn
0.015 0.985 0.832 Te
0.138 0.862 0.074 Te
0.195 0.805 0.451 Te
0.220 0.780 0.754 Te
0.457 0.543 0.125 Te
0.543 0.457 0.625 Te
0.780 0.220 0.254 Te
0.805 0.195 0.951 Te
0.862 0.138 0.574 Te
0.985 0.015 0.332 Te
0.370 0.630 0.382 Pb
0.388 0.612 0.725 Pb
0.612 0.388 0.225 Pb
0.630 0.370 0.882 Pb
```

## Properties
VASP energy ... -3.598 eV/atom
Total magnetic moment ... 0.0 μB/f.u.

---

[3]
Below is In2SnTe4Pb after structural relaxation, with properties calculated at the PBE-GGA level.

Structure (POSCAR):
```
In2SnTe4Pb
1.0
7.826 0.000 0.000
0.000 4.478 0.000
-2.527 0.000 7.411
In Sn Te Pb
2 1 4 1
Direct
0.000 0.000 0.000 In
0.000 0.500 0.500 In
0.500 0.000 0.500 Sn
0.242 0.000 0.742 Te
0.246 0.500 0.254 Te
0.754 0.500 0.746 Te
0.758 0.000 0.258 Te
0.500 0.500 0.000 Pb
```

## Properties
VASP energy ... -3.509 eV/atom
Total magnetic moment ... 0.0 μB/f.u.

---

[4]
Below is TlIn6SnPb2 after structural relaxation, with properties calculated at the PBE-GGA level.

Structure (POSCAR):
```
TlIn6SnPb2
1.0
7.820 0.000 0.000
0.000 9.503 0.000
-7.685 0.000 8.113
Tl In Sn Pb
2 12 2 4
Direct
0.000 0.000 0.000 Tl
0.000 0.500 0.500 Tl
0.005 0.145 0.730 In
0.005 0.355 0.230 In
0.286 0.206 0.575 In
0.286 0.294 0.075 In
0.428 0.645 0.536 In
0.428 0.855 0.036 In
0.572 0.145 0.964 In
0.572 0.355 0.464 In
0.714 0.706 0.925 In
0.714 0.794 0.425 In
0.995 0.645 0.770 In
0.995 0.855 0.270 In
0.500 0.000 0.500 Sn
0.500 0.500 0.000 Sn
0.257 0.613 0.164 Pb
0.257 0.887 0.664 Pb
0.743 0.113 0.336 Pb
0.743 0.387 0.836 Pb
```

## Properties
Calculated formation energy ... 76 kJ/mol of formula units
Total magnetic moment ... 0.0 μB/f.u.

---

[5]
Below is TlInSnPb2 after structural relaxation, with properties calculated at the PBE-GGA level.

Structure (POSCAR):
```
TlInSnPb2
1.0
3.591 -6.511 0.000
3.591 6.511 0.000
0.000 0.000 7.258
Tl In Sn Pb
2 2 2 4
Direct
0.247 0.753 0.750 Tl
0.753 0.247 0.250 Tl
0.140 0.860 0.250 In
0.860 0.140 0.750 In
0.359 0.641 0.250 Sn
0.641 0.359 0.750 Sn
0.250 0.250 0.000 Pb
0.250 0.250 0.500 Pb
0.750 0.750 0.000 Pb
0.750 0.750 0.500 Pb
```

## Properties
Calculated formation energy ... 42 kJ/mol of formula units
Total magnetic moment ... 0.0 μB/f.u.

---

[6]
Below is Tl2InSn2Pb2 after structural relaxation, with properties calculated at the PBE-GGA level.

Structure (POSCAR):
```
Tl2InSn2Pb2
1.0
10.735 0.000 0.000
0.000 3.415 0.000
-2.104 0.000 11.636
Tl In Sn Pb
4 2 4 4
Direct
0.206 0.000 0.363 Tl
0.294 0.500 0.637 Tl
0.706 0.500 0.363 Tl
0.794 0.000 0.637 Tl
0.000 0.500 0.500 In
0.500 0.000 0.500 In
0.149 0.000 0.068 Sn
0.351 0.500 0.932 Sn
0.649 0.500 0.068 Sn
0.851 0.000 0.932 Sn
0.094 0.000 0.788 Pb
0.406 0.500 0.212 Pb
0.594 0.500 0.788 Pb
0.906 0.000 0.212 Pb
```

## Properties
Calculated formation energy ... 42 kJ/mol of formula units
Total magnetic moment ... 0.0 μB/f.u.

---

[7]
Below is TlInSnPb after structural relaxation, with properties calculated at the PBE-GGA level.

Structure (POSCAR):
```
TlInSnPb
1.0
7.820 0.000 0.000
0.000 7.820 0.000
0.000 0.000 7.820
Tl In Sn Pb
4 4 4 4
Direct
0.000 0.000 0.000 Tl
0.000 0.500 0.500 Tl
0.500 0.000 0.500 Tl
0.500 0.500 0.000 Tl
0.250 0.250 0.750 In
0.250 0.750 0.250 In
0.750 0.250 0.250 In
0.750 0.750 0.750 In
0.000 0.000 0.500 Sn
0.000 0.500 0.000 Sn
0.500 0.000 0.000 Sn
0.500 0.500 0.500 Sn
0.250 0.250 0.250 Pb
0.250 0.750 0.750 Pb
0.750 0.250 0.750 Pb
0.750 0.750 0.250 Pb
```

## Properties
Calculated formation energy ... 26 kJ/mol of formula units
Relative energy among the computed polymorphs ... 0.0476 eV per atom
Total magnetic moment ... 0.0 μB/f.u.

---

[8]
Below is TlInSnPb after structural relaxation, with properties calculated at the PBE-GGA level.

Structure (POSCAR):
```
TlInSnPb
1.0
3.440 0.000 0.000
0.000 3.440 0.000
0.000 0.000 10.022
Tl In Sn Pb
1 1 1 1
Direct
0.000 0.000 0.000 Tl
0.500 0.500 0.746 In
0.500 0.500 0.252 Sn
0.000 0.000 0.495 Pb
```

## Properties
Calculated formation energy ... 7 kJ/mol of formula units
Relative energy among the computed polymorphs ... 0.0000 eV per atom
Total magnetic moment ... 0.0 μB/f.u.